*1*
Computed, not measured: crystalline TaP2Ru at its relaxed geometry at the PBE level of DFT.

**Spin magnetization**: 0.0 μB per cell
**Fermi-level density of states**: 0.480 states/eV/atom
**Density**: 9.655 g cm⁻³

POSCAR file:
```
TaP2Ru
1.0
-0.562 3.423 -1.758
-2.477 2.932 0.628
3.007 3.386 3.111
P Ru Ta
2 1 1
Direct
0.002 0.002 0.974
0.498 0.498 0.526
0.750 0.750 0.750
0.250 0.250 0.250
```

***

*2*
Computed, not measured: crystalline TaP2Ru at its relaxed geometry at the PBE level of DFT.

**Spin magnetization**: 0.0 μB per cell
**Fermi-level density of states**: 0.578 states/eV/atom
**Density**: 9.665 g cm⁻³

POSCAR file:
```
TaP2Ru
1.0
5.845 0.543 -0.411
3.652 4.596 0.411
-4.603 -2.839 2.320
P Ru Ta
2 1 1
Direct
0.701 0.201 0.500
0.968 0.968 0.000
0.540 0.540 0.000
0.290 0.790 0.500
```

***

*3*
Computed, not measured: crystalline TaP2Ru at its relaxed geometry at the PBE level of DFT.

**Spin magnetization**: 0.0 μB per cell
**Fermi-level density of states**: 0.489 states/eV/atom
**Density**: 10.348 g cm⁻³

POSCAR file:
```
TaP2Ru
1.0
-3.525 -2.179 -0.995
2.355 -2.828 -2.150
0.313 -1.659 2.526
P Ta Ru
2 1 1
Direct
0.000 0.000 0.000
0.500 0.500 0.000
0.000 0.500 0.500
0.500 0.000 0.500
```

***

Name the least stable of them. *1*.

***

*1*
Computed, not measured: crystalline Ta3PRu at its relaxed geometry at the PBE level of DFT.

**Spin magnetization**: 0.0 μB per cell
**Fermi-level density of states**: 0.642 states/eV/atom
**Density**: 12.080 g cm⁻³

POSCAR file:
```
Ta3PRu
1.0
-1.049 4.098 1.611
-2.825 -1.897 2.985
3.378 -0.314 2.997
Ta P Ru
3 1 1
Direct
0.000 0.000 0.500
0.500 0.000 0.000
0.000 0.500 0.000
0.000 0.000 0.000
0.500 0.500 0.500
```

***

*2*
Computed, not measured: crystalline Ta3PRu at its relaxed geometry at the PBE level of DFT.

**Spin magnetization**: 0.0 μB per cell
**Fermi-level density of states**: 1.120 states/eV/atom
**Density**: 10.254 g cm⁻³

POSCAR file:
```
Ta3PRu
1.0
4.781 0.000 0.000
0.000 4.781 0.000
0.000 0.000 4.781
P Ta Ru
1 3 1
Direct
0.500 0.500 0.500
0.500 0.000 0.000
0.000 0.000 0.500
0.000 0.500 0.000
0.000 0.000 0.000
```

***

Name the least stable of them. *2*.